[1]
{
  "formula": "Pu2InGa3Ni4",
  "functional": "GGA-PBE",
  "state": "relaxed",
  "lattice_angstrom": [[4.1570, 0.0000, 0.0000], [0.0000, 4.1570, 0.0000], [0.0000, 0.0000, 10.1028]],
  "species": ["Pu", "Pu", "In", "Ga", "Ga", "Ga", "Ni", "Ni", "Ni", "Ni"],
  "fractional_positions": [[0.0000, 0.5000, 0.2350], [0.5000, 0.0000, 0.7650], [0.0000, 0.0000, 0.5000], [0.0000, 0.5000, 0.8822], [0.5000, 0.0000, 0.1178], [0.5000, 0.5000, 0.5000], [0.0000, 0.0000, 0.0000], [0.0000, 0.5000, 0.6487], [0.5000, 0.0000, 0.3513], [0.5000, 0.5000, 0.0000]],
  "n_ef_per_ev_atom": 2.906,
  "m_tot_mub_per_fu": 11.35,
  "e_form_mev_per_atom": -304
}


[2]
{
  "formula": "PrIn7Pd5",
  "functional": "GGA-PBE",
  "state": "relaxed",
  "lattice_angstrom": [[-2.8680, 4.8917, 4.7414], [2.8680, -4.8917, 4.7414], [2.8680, 4.8917, -4.7414]],
  "species": ["Pr", "In", "In", "In", "In", "In", "In", "In", "Pd", "Pd", "Pd", "Pd", "Pd"],
  "fractional_positions": [[0.0000, 0.0000, 0.0000], [0.1771, 0.4826, 0.6945], [0.2291, 0.7291, 0.5000], [0.3521, 0.0118, 0.3402], [0.3527, 0.3527, 0.0000], [0.6649, 0.6649, 0.0000], [0.6716, 0.0118, 0.6598], [0.7881, 0.4826, 0.3055], [0.0057, 0.4969, 0.0140], [0.0057, 0.9917, 0.5088], [0.4829, 0.4969, 0.4912], [0.4829, 0.9917, 0.9860], [0.7644, 0.2644, 0.5000]],
  "n_ef_per_ev_atom": 0.592,
  "m_tot_mub_per_fu": 0.00,
  "e_form_mev_per_atom": -491
}


[3]
{
  "formula": "Tl2CoSnSe",
  "functional": "GGA-PBE",
  "state": "relaxed",
  "lattice_angstrom": [[5.7772, 0.0000, 0.0000], [0.0000, 5.7772, 0.0000], [0.0000, 0.0000, 4.8794]],
  "species": ["Tl", "Tl", "Co", "Sn", "Se"],
  "fractional_positions": [[0.0000, 0.5000, 0.0000], [0.5000, 0.0000, 0.0000], [0.0000, 0.0000, 0.5000], [0.0000, 0.0000, 0.0000], [0.5000, 0.5000, 0.5000]],
  "n_ef_per_ev_atom": 0.589,
  "m_tot_mub_per_fu": 2.33,
  "raw_formation_energy_ev_per_atom": 0.638
}